Compound: PrCoGe4
Source: Alexandria
Functional: PBE
Structure: relaxed

Cell lengths 9.206, 9.206, 5.788 Å; angles 90.00, 90.00, 151.52 degrees
Positions (direct):
Pr 0.094 0.906 0.750
Pr 0.906 0.094 0.250
Co 0.394 0.606 0.750
Co 0.606 0.394 0.250
Ge 0.135 0.865 0.250
Ge 0.287 0.713 0.019
Ge 0.287 0.713 0.481
Ge 0.500 0.500 0.000
Ge 0.500 0.500 0.500
Ge 0.713 0.287 0.519
Ge 0.713 0.287 0.981
Ge 0.865 0.135 0.750

Output
Calculated total energy: -5.316 eV/atom
Crystal system: orthorhombic

Compound: Pr2CoGe3
Source: Alexandria
Functional: PBE
Structure: relaxed

Cell lengths 4.254, 4.254, 8.399 Å; angles 90.00, 90.00, 120.00 degrees
Positions (direct):
Pr 0.000 0.000 0.232
Pr 0.000 0.000 0.768
Co 0.667 0.333 0.000
Ge 0.333 0.667 0.000
Ge 0.333 0.667 0.500
Ge 0.667 0.333 0.500

Output
Energy relative to the lowest polymorph listed for this composition: 0.1381 eV per atom
Crystal system: hexagonal

Compound: Pr3Co2Ge3
Source: Alexandria
Functional: PBE
Structure: relaxed

Cell lengths 5.987, 5.987, 14.543 Å; angles 90.00, 90.00, 139.06 degrees
Positions (direct):
Pr 0.076 0.924 0.607
Pr 0.076 0.924 0.893
Pr 0.356 0.644 0.750
Pr 0.644 0.356 0.250
Pr 0.924 0.076 0.107
Pr 0.924 0.076 0.393
Co 0.217 0.783 0.101
Co 0.217 0.783 0.399
Co 0.783 0.217 0.601
Co 0.783 0.217 0.899
Ge 0.339 0.661 0.250
Ge 0.350 0.650 0.540
Ge 0.350 0.650 0.960
Ge 0.650 0.350 0.040
Ge 0.650 0.350 0.460
Ge 0.661 0.339 0.750

Output
Calculated total energy: -5.905 eV/atom
Crystal system: orthorhombic

Compound: Pr12Co6Ge
Source: Alexandria
Functional: PBE
Structure: relaxed

Cell lengths 8.686, 8.686, 8.686 Å; angles 109.47, 109.47, 109.47 degrees
Positions (direct):
Pr 0.112 0.304 0.809
Pr 0.191 0.495 0.304
Pr 0.191 0.888 0.696
Pr 0.304 0.191 0.495
Pr 0.304 0.809 0.112
Pr 0.495 0.304 0.191
Pr 0.505 0.696 0.809
Pr 0.696 0.191 0.888
Pr 0.696 0.809 0.505
Pr 0.809 0.112 0.304
Pr 0.809 0.505 0.696
Pr 0.888 0.696 0.191
Co 0.111 0.500 0.611
Co 0.389 0.889 0.500
Co 0.500 0.389 0.889
Co 0.500 0.611 0.111
Co 0.611 0.111 0.500
Co 0.889 0.500 0.389
Ge 0.000 0.000 0.000

Output
Calculated total energy: -5.627 eV/atom
Crystal system: cubic

Compound: Pr8CoGe2
Source: Alexandria
Functional: PBE
Structure: relaxed

Cell lengths 9.647, 9.647, 7.749 Å; angles 98.32, 98.32, 27.40 degrees
Positions (direct):
Pr 0.007 0.007 0.286
Pr 0.216 0.216 0.846
Pr 0.349 0.349 0.489
Pr 0.403 0.403 0.985
Pr 0.597 0.597 0.015
Pr 0.651 0.651 0.511
Pr 0.784 0.784 0.154
Pr 0.993 0.993 0.714
Co 0.500 0.500 0.500
Ge 0.182 0.182 0.254
Ge 0.818 0.818 0.746

Output
Calculated total energy: -5.246 eV/atom
Crystal system: monoclinic

Compound: Pr3Co2Ge4
Source: Alexandria
Functional: PBE
Structure: relaxed

Cell lengths 6.022, 6.022, 8.270 Å; angles 106.98, 106.98, 40.97 degrees
Positions (direct):
Pr 0.000 0.000 0.000
Pr 0.385 0.385 0.310
Pr 0.615 0.615 0.690
Co 0.302 0.302 0.630
Co 0.698 0.698 0.370
Ge 0.112 0.112 0.397
Ge 0.287 0.287 0.917
Ge 0.713 0.713 0.083
Ge 0.888 0.888 0.603

Output
Energy relative to the lowest polymorph listed for this composition: 0.0000 eV per atom
Crystal system: monoclinic